(1)
The following is a DFT calculation (GGA-PBE) of a geometry-optimized La3PuPb4 structure.

Calculated values
Final energy in eV per atom: -5.966
Energy of formation in kcal/mol of atoms: -10.9
Volume in Å³/cell: 245
Spin magnetization in μB per atom: 0.730

Lattice parameters (Å, degrees): 3.6286 3.6286 18.6291 90.00 90.00 90.00
Element x y z (fractional)
1 La 0.0000 0.0000 0.0000
2 La 0.0000 0.0000 0.2539
3 La 0.0000 0.0000 0.7461
4 Pu 0.0000 0.0000 0.5000
5 Pb 0.5000 0.5000 0.1269
6 Pb 0.5000 0.5000 0.3802
7 Pb 0.5000 0.5000 0.6198
8 Pb 0.5000 0.5000 0.8731


(2)
The following is a DFT calculation (GGA-PBE) of a geometry-optimized La2Pu2Pb3 structure.

Calculated values
Final energy in eV per atom: -7.404
Energy of formation in kcal/mol of atoms: -7.2
Volume in Å³/cell: 208
Spin magnetization in μB per atom: 1.670

Lattice parameters (Å, degrees): 12.4160 12.4160 3.5986 90.00 90.00 157.93
Element x y z (fractional)
1 La 0.0777 0.9223 0.0000
2 La 0.9223 0.0777 0.0000
3 Pu 0.2147 0.7853 0.0000
4 Pu 0.7853 0.2147 0.0000
5 Pb 0.3422 0.6578 0.5000
6 Pb 0.5000 0.5000 0.5000
7 Pb 0.6578 0.3422 0.5000


(3)
The following is a DFT calculation (GGA-PBE) of a geometry-optimized La5PuPb5 structure.

Calculated values
Final energy in eV per atom: -5.504
Energy of formation in kcal/mol of atoms: -6.3
Volume in Å³/cell: 418
Spin magnetization in μB per atom: 0.513

Lattice parameters (Å, degrees): 8.1169 8.1169 9.0629 106.56 106.56 47.50
Element x y z (fractional)
1 La 0.0000 0.0000 0.0000
2 La 0.3284 0.3284 0.1670
3 La 0.3338 0.3338 0.6702
4 La 0.6662 0.6662 0.3298
5 La 0.6716 0.6716 0.8330
6 Pu 0.0000 0.0000 0.5000
7 Pb 0.1600 0.1600 0.3377
8 Pb 0.1610 0.1610 0.8280
9 Pb 0.5000 0.5000 0.5000
10 Pb 0.8390 0.8390 0.1720
11 Pb 0.8400 0.8400 0.6623


(4)
The following is a DFT calculation (GGA-PBE) of a geometry-optimized LaPuRuPb structure.

Calculated values
Final energy in eV per atom: -8.297
Energy of formation in kcal/mol of atoms: -5.4
Volume in Å³/cell: 102
Spin magnetization in μB per atom: 1.237

Lattice parameters (Å, degrees): 3.3964 3.3964 8.8502 90.00 90.00 90.00
Element x y z (fractional)
1 La 0.0000 0.0000 0.0000
2 Pu 0.0000 0.0000 0.6000
3 Ru 0.5000 0.5000 0.7841
4 Pb 0.5000 0.5000 0.3085


(5)
The following is a DFT calculation (GGA-PBE) of a geometry-optimized LaPuSnPb structure.

Calculated values
Final energy in eV per atom: -7.106
Energy of formation in kcal/mol of atoms: -8.4
Volume in Å³/cell: 119
Spin magnetization in μB per atom: 1.517

Lattice parameters (Å, degrees): 5.5258 5.5258 5.5258 60.00 60.00 60.00
Element x y z (fractional)
1 La 0.0000 0.0000 0.0000
2 Pu 0.5000 0.5000 0.5000
3 Sn 0.2500 0.2500 0.2500
4 Pb 0.7500 0.7500 0.7500


(6)
The following is a DFT calculation (GGA-PBE) of a geometry-optimized RbLaPb structure.

Calculated values
Final energy in eV per atom: -3.454
Energy of formation in kcal/mol of atoms: -5.8
Volume in Å³/cell: 284
Spin magnetization in μB per atom: 0.000

Lattice parameters (Å, degrees): 5.7158 5.7158 8.6941 90.00 90.00 90.00
Element x y z (fractional)
1 Rb 0.2500 0.2500 0.1245
2 Rb 0.7500 0.7500 0.8755
3 La 0.2500 0.7500 0.5000
4 La 0.7500 0.2500 0.5000
5 Pb 0.2500 0.2500 0.6918
6 Pb 0.7500 0.7500 0.3082


(7)
The following is a DFT calculation (GGA-PBE) of a geometry-optimized RbLaPb3 structure.

Calculated values
Final energy in eV per atom: -2.647
Energy of formation in kcal/mol of atoms: 17.5
Energy above the most stable polymorph in this dataset in kJ/mol of atoms: 57.08
Volume in Å³/cell: 207
Spin magnetization in μB per atom: 0.000

Lattice parameters (Å, degrees): 5.9124 5.9124 5.9124 90.00 90.00 90.00
Element x y z (fractional)
1 Rb 0.0000 0.0000 0.0000
2 La 0.5000 0.5000 0.5000
3 Pb 0.0000 0.0000 0.5000
4 Pb 0.0000 0.5000 0.0000
5 Pb 0.5000 0.0000 0.0000


(8)
The following is a DFT calculation (GGA-PBE) of a geometry-optimized Rb3LaPb structure.

Calculated values
Final energy in eV per atom: -1.348
Energy of formation in kcal/mol of atoms: 22.1
Volume in Å³/cell: 326
Spin magnetization in μB per atom: 0.399

Lattice parameters (Å, degrees): 6.8843 6.8843 6.8843 90.00 90.00 90.00
Element x y z (fractional)
1 Rb 0.0000 0.0000 0.5000
2 Rb 0.0000 0.5000 0.0000
3 Rb 0.5000 0.0000 0.0000
4 La 0.0000 0.0000 0.0000
5 Pb 0.5000 0.5000 0.5000